(1)
Computed, not measured: KReMo3 after structural relaxation at the PBE level of DFT.

Summary:
Calculated density (Mg/m³): 7.3
Crystal system: cubic
Relative energy among the computed polymorphs (eV per atom): 0.000
Space group: Pm-3m (221)
E_form (eV per atom): 1.7311
Raw total energy (Ha/atom): -0.275

Cell lengths 4.8839, 4.8839, 4.8839 Å; angles 90.00, 90.00, 90.00 degrees
Closest atoms and distances in Å follow each position.
Element x y z (fractional)
K 0.0000 0.0000 0.0000  12 Mo 3.45
Re 0.5000 0.5000 0.5000  6 Mo 2.44
Mo 0.0000 0.5000 0.5000  2 Re 2.44
Mo 0.5000 0.0000 0.5000  2 Re 2.44
Mo 0.5000 0.5000 0.0000  2 Re 2.44

(2)
Computed, not measured: KRe2Mo after structural relaxation at the PBE level of DFT.

Summary:
Calculated density (Mg/m³): 11.5
Crystal system: orthorhombic
Relative energy among the computed polymorphs (eV per atom): 0.082
Space group: Cmm2 (35)
E_form (eV per atom): 0.8248
Raw total energy (Ha/atom): -0.308

Cell lengths 2.7342, 2.7342, 10.5581 Å; angles 90.00, 90.00, 111.81 degrees
Closest atoms and distances in Å follow each position.
Element x y z (fractional)
K 0.0000 0.0000 0.0000  4 K 2.73
Re 0.0000 0.0000 0.4898  6 Re 2.67-2.73, 2 Mo 2.68
Re 0.5000 0.5000 0.2827  6 Re 2.67-2.73
Mo 0.5000 0.5000 0.6983  2 Re 2.68, 4 Mo 2.73

(3)
Computed, not measured: KRe2Mo after structural relaxation at the PBE level of DFT.

Summary:
Calculated density (Mg/m³): 11.9
Crystal system: orthorhombic
Relative energy among the computed polymorphs (eV per atom): 0.775
Space group: Cmmm (65)
E_form (eV per atom): 1.5176
Raw total energy (Ha/atom): -0.283

Cell lengths 5.6889, 5.6889, 2.5777 Å; angles 90.00, 90.00, 122.18 degrees
Closest atoms and distances in Å follow each position.
Element x y z (fractional)
K 0.0000 0.0000 0.0000  2 K 2.58, 2 Mo 2.75
Re 0.0000 0.5000 0.5000  4 Re 2.58-2.75
Re 0.5000 0.0000 0.5000  4 Re 2.58-2.75
Mo 0.5000 0.5000 0.0000  2 Mo 2.58, 2 K 2.75